Compound: Ac3Nd4
Source: Alexandria
Functional: PBE
Structure: relaxed

Unit cell a=18.8459 b=18.8459 c=18.8459 alpha=168.28 beta=168.28 gamma=16.60
Closest atoms and distances in Å follow each position.
Fractional positions:
1 Ac 0.0000 0.0000 0.0000  8 Nd 3.83, 4 Ac 3.85
2 Ac 0.2895 0.2895 0.0000  4 Nd 3.83, 8 Ac 3.85-4.01
3 Ac 0.7105 0.7105 0.0000  4 Nd 3.83, 8 Ac 3.85-4.01
4 Nd 0.1383 0.1383 0.0000  8 Nd 3.67-3.85, 4 Ac 3.83
5 Nd 0.4279 0.4279 0.0000  8 Nd 3.67-3.85, 4 Ac 3.83
6 Nd 0.5721 0.5721 0.0000  8 Nd 3.67-3.85, 4 Ac 3.83
7 Nd 0.8617 0.8617 0.0000  8 Nd 3.67-3.85, 4 Ac 3.83

Output
E (eV/atom): -4.4521

=====

Compound: Hf3Zr4Sb4
Source: Alexandria
Functional: PBE
Structure: relaxed

Unit cell a=9.4043 b=7.2906 c=7.2906 alpha=31.16 beta=90.00 gamma=90.00
Closest atoms and distances in Å follow each position.
Fractional positions:
1 Hf 0.0000 0.0000 0.0000  6 Sb 3.01-3.04, 2 Zr 3.19, 2 Hf 3.21
2 Hf 0.2710 0.1391 0.1391  6 Sb 2.97-3.23, 2 Zr 3.18, 1 Hf 3.21
3 Hf 0.7290 0.1391 0.1391  6 Sb 2.97-3.23, 2 Zr 3.18, 1 Hf 3.21
4 Zr 0.0000 0.3208 0.3208  4 Sb 2.96-3.17, 4 Zr 3.03, 2 Hf 3.19
5 Zr 0.2460 0.8168 0.8168  4 Sb 2.97-3.16, 4 Zr 3.03-3.10, 2 Hf 3.18
6 Zr 0.5000 0.3389 0.3389  4 Sb 2.95-3.07, 4 Zr 3.10
7 Zr 0.7540 0.8168 0.8168  4 Sb 2.97-3.16, 4 Zr 3.03-3.10, 2 Hf 3.18
8 Sb 0.0000 0.6630 0.6630  4 Zr 2.96-3.16, 6 Hf 3.01-3.23
9 Sb 0.2453 0.4757 0.4757  4 Zr 2.97-3.17, 4 Hf 3.03-3.04
10 Sb 0.5000 0.6813 0.6813  4 Zr 2.95-3.05, 4 Hf 2.97
11 Sb 0.7547 0.4757 0.4757  4 Zr 2.97-3.17, 4 Hf 3.03-3.04

Output
E (eV/atom): -7.7628

=====

Compound: TiMoS2N
Source: Alexandria
Functional: PBE
Structure: relaxed

Unit cell a=4.7929 b=4.7929 c=3.7200 alpha=90.00 beta=90.00 gamma=90.00
Closest atoms and distances in Å follow each position.
Fractional positions:
1 Ti 0.0000 0.0000 0.0000  2 N 1.86
2 Mo 0.5000 0.5000 0.5000  8 S 3.03, 4 N 3.39
3 S 0.0000 0.5000 0.0000  2 Ti 2.40
4 S 0.5000 0.0000 0.0000  2 Ti 2.40
5 N 0.0000 0.0000 0.5000  2 Ti 1.86

Output
E (eV/atom): -6.8267

=====

Compound: Li2PbCl
Source: Alexandria
Functional: PBE
Structure: relaxed

Unit cell a=5.2360 b=5.2360 c=5.2360 alpha=60.00 beta=60.00 gamma=60.00
Closest atoms and distances in Å follow each position.
Fractional positions:
1 Li 0.0000 0.0000 0.0000  4 Pb 3.21, 4 Li 3.21
2 Li 0.2500 0.2500 0.2500  4 Cl 3.21, 4 Li 3.21
3 Pb 0.7500 0.7500 0.7500  4 Cl 3.21, 4 Li 3.21
4 Cl 0.5000 0.5000 0.5000  4 Pb 3.21, 4 Li 3.21

Output
E (eV/atom): -2.5318

=====

Compound: ScBeH2
Source: Alexandria
Functional: PBE
Structure: relaxed

Unit cell a=3.6189 b=3.6189 c=3.6189 alpha=60.00 beta=60.00 gamma=60.00
Closest atoms and distances in Å follow each position.
Fractional positions:
1 Sc 0.0000 0.0000 0.0000  8 H 2.22
2 Be 0.5000 0.5000 0.5000  8 H 2.22
3 H 0.2500 0.2500 0.2500  4 Be 2.22, 4 Sc 2.22
4 H 0.7500 0.7500 0.7500  4 Be 2.22, 4 Sc 2.22

Output
E (eV/atom): -4.1799

=====

Compound: LiNiIr2Se
Source: Alexandria
Functional: PBE
Structure: relaxed

Unit cell a=4.6011 b=4.6011 c=4.3530 alpha=90.00 beta=90.00 gamma=90.00
Closest atoms and distances in Å follow each position.
Fractional positions:
1 Li 0.0000 0.0000 0.0000  8 Ir 3.17, 4 Ni 3.25
2 Ni 0.5000 0.5000 0.0000  2 Se 2.18
3 Ir 0.0000 0.5000 0.5000  2 Se 2.30
4 Ir 0.5000 0.0000 0.5000  2 Se 2.30
5 Se 0.5000 0.5000 0.5000  2 Ni 2.18, 4 Ir 2.30

Output
E (eV/atom): -5.0601

=====

no.,DOS at the Fermi energy (states/eV per atom),mass density (g/cm³)
1,1.858,7.6
2,0.722,8.9
3,0.507,4.3
4,0.626,4.2
5,0.430,2.8
6,1.153,9.5